# 1
Compound: RbCuB2Mo
Source: the Alexandria database
Functional: PBE-GGA
Structure: relaxed

a = 4.0947 Å, b = 4.0947 Å, c = 5.3102 Å
α = 90.00°, β = 90.00°, γ = 90.00°
Closest atoms and distances in Å follow each position.
Atoms (fractional coordinates):
Rb (0.0000, 0.0000, 0.0000)  2 Cu 2.66, 4 Mo 2.90
Cu (0.0000, 0.0000, 0.5000)  4 B 2.05
B (0.0000, 0.5000, 0.5000)  2 Cu 2.05
B (0.5000, 0.0000, 0.5000)  2 Cu 2.05
Mo (0.5000, 0.5000, 0.0000)  4 Rb 2.90

Output
energy = -0.271 Ry per atom
energy of formation = 10.8 eV per formula unit
calculated density = 5.0 Mg/m³



# 2
Compound: CuReBMo2
Source: the Alexandria database
Functional: PBE-GGA
Structure: relaxed

a = 4.7171 Å, b = 4.7171 Å, c = 4.6212 Å
α = 90.00°, β = 90.00°, γ = 90.00°
Closest atoms and distances in Å follow each position.
Atoms (fractional coordinates):
Cu (0.0000, 0.0000, 0.0000)  2 Re 2.31
Re (0.0000, 0.0000, 0.5000)  2 Cu 2.31, 4 Mo 2.36
B (0.5000, 0.5000, 0.0000)  8 Mo 3.30, 4 Cu 3.34
Mo (0.0000, 0.5000, 0.5000)  2 Re 2.36
Mo (0.5000, 0.0000, 0.5000)  2 Re 2.36

Output
energy = -0.481 Ry per atom
energy of formation = 12.1 eV per formula unit
calculated density = 7.3 Mg/m³



# 3
Compound: Cu2SiBMo
Source: the Alexandria database
Functional: PBE-GGA
Structure: relaxed

a = 4.7143 Å, b = 4.7143 Å, c = 4.6706 Å
α = 90.00°, β = 90.00°, γ = 90.00°
Closest atoms and distances in Å follow each position.
Atoms (fractional coordinates):
Cu (0.0000, 0.5000, 0.0000)  2 Mo 2.36
Cu (0.5000, 0.0000, 0.0000)  2 Mo 2.36
Si (0.0000, 0.0000, 0.5000)  2 Mo 2.34
B (0.5000, 0.5000, 0.5000)  8 Cu 3.32, 4 Si 3.33
Mo (0.0000, 0.0000, 0.0000)  2 Si 2.34, 4 Cu 2.36

Output
energy = -0.309 Ry per atom
energy relative to the elements, uncorrected = 2017 meV per atom
calculated density = 4.2 Mg/m³